Entry from Alexandria via LeMat-Bulk: an optimized crystal structure of Pa5AsSe4 (PBE-GGA).

abc: 3.8710 5.7642 11.2364
angles: 104.86 99.92 90.00
Closest atoms and distances in Å follow each position.
Positions (direct):
Pa: 0.5994 0.0994 0.1988  2 As 2.87, 4 Se 2.88-2.90
Pa: 0.8004 0.3004 0.6008  6 Se 2.88
Pa: 0.1996 0.6996 0.3992  6 Se 2.88
Pa: 0.0000 0.5000 0.0000  4 Se 2.88, 2 As 2.88
Pa: 0.4006 0.9006 0.8012  2 As 2.87, 4 Se 2.88-2.90
As: 0.0000 0.0000 0.0000  6 Pa 2.87-2.88
Se: 0.4003 0.4003 0.8006  6 Pa 2.88
Se: 0.7996 0.7996 0.5993  6 Pa 2.88-2.90
Se: 0.2004 0.2004 0.4007  6 Pa 2.88-2.90
Se: 0.5997 0.5997 0.1994  6 Pa 2.88

Calculated volume: 23.85 A^3/atom
Calculated density: 10.77 g cm⁻³
Formation energy from raw total energies: -1.18 eV/atom

***

Entry from Alexandria via LeMat-Bulk: an optimized crystal structure of PaAsSe (PBE-GGA).

abc: 6.4211 4.2350 4.2350
angles: 120.00 90.00 90.00
Closest atoms and distances in Å follow each position.
Positions (direct):
As: 0.2172 0.3333 0.6667  3 Pa 2.79
Pa: 0.0065 0.0000 0.0000  3 As 2.79, 3 Se 2.86
Se: 0.7763 0.6667 0.3333  3 Pa 2.86

Calculated volume: 33.24 A^3/atom
Calculated density: 6.41 g cm⁻³
Formation energy from raw total energies: -0.91 eV/atom
Energy above the lowest structure with this stoichiometry: 247.7 meV/atom

***

Entry from Alexandria via LeMat-Bulk: an optimized crystal structure of Pa8As3Se5 (PBE-GGA).

abc: 8.2956 8.2956 8.0155
angles: 58.84 58.84 60.00
Closest atoms and distances in Å follow each position.
Positions (direct):
Pa: 0.2492 0.2492 0.7511  4 Se 2.88-2.89, 2 As 2.89
Pa: 0.2492 0.7505 0.7511  4 Se 2.88-2.89, 2 As 2.89
Pa: 0.7505 0.2492 0.7511  4 Se 2.88-2.89, 2 As 2.89
Pa: 0.7496 0.7496 0.7512  3 Se 2.88, 3 As 2.89
Pa: 0.7508 0.7508 0.2489  4 Se 2.88-2.89, 2 As 2.89
Pa: 0.7508 0.2495 0.2489  4 Se 2.88-2.89, 2 As 2.89
Pa: 0.2495 0.7508 0.2489  4 Se 2.88-2.89, 2 As 2.89
Pa: 0.2504 0.2504 0.2488  3 Se 2.88, 3 As 2.89
As: 0.5000 0.0000 0.5000  6 Pa 2.89
As: 0.0000 0.0000 0.5000  6 Pa 2.89
As: 0.0000 0.5000 0.5000  6 Pa 2.89
Se: 0.5000 0.0000 0.0000  6 Pa 2.88
Se: 0.5000 0.5000 0.0000  6 Pa 2.88
Se: 0.0000 0.0000 0.0000  6 Pa 2.88
Se: 0.0000 0.5000 0.0000  6 Pa 2.88
Se: 0.5000 0.5000 0.5000  6 Pa 2.89

Calculated volume: 23.94 A^3/atom
Calculated density: 10.70 g cm⁻³
Formation energy from raw total energies: -1.16 eV/atom

***

Entry from Alexandria via LeMat-Bulk: an optimized crystal structure of PaAs2Se6 (PBE-GGA).

abc: 6.8260 6.8260 8.5310
angles: 66.42 66.42 60.00
Closest atoms and distances in Å follow each position.
Positions (direct):
Pa: 0.3372 0.3372 0.9883  6 Se 2.78-2.84
As: 0.7272 0.7272 0.8183  3 Se 2.44, 1 As 2.54
As: 0.6154 0.6154 0.1539  3 Se 2.39, 1 As 2.54
Se: 0.7372 0.4011 0.7576  1 As 2.44
Se: 0.1041 0.7372 0.7576  1 As 2.44
Se: 0.4011 0.1041 0.7576  1 As 2.44
Se: 0.2874 0.5167 0.2566  1 As 2.39
Se: 0.9393 0.2874 0.2566  1 As 2.39
Se: 0.5167 0.9393 0.2566  1 As 2.39

Calculated volume: 33.92 A^3/atom
Calculated density: 4.65 g cm⁻³
Formation energy from raw total energies: -0.41 eV/atom

***

Entry from Alexandria via LeMat-Bulk: an optimized crystal structure of Pa2As2Se (PBE-GGA).

abc: 4.0959 5.6121 7.2725
angles: 112.70 106.36 90.00
Closest atoms and distances in Å follow each position.
Positions (direct):
Pa: 0.6589 0.1589 0.3179  4 As 2.82-2.87, 2 Se 2.88
Pa: 0.3411 0.8411 0.6821  4 As 2.82-2.87, 2 Se 2.88
As: 0.3165 0.3165 0.6329  4 Pa 2.82-2.87
As: 0.6835 0.6835 0.3671  4 Pa 2.82-2.87
Se: 0.0000 0.0000 0.0000  4 Pa 2.88

Calculated volume: 29.37 A^3/atom
Calculated density: 7.81 g cm⁻³
Formation energy from raw total energies: -0.90 eV/atom

***

Entry from Alexandria via LeMat-Bulk: an optimized crystal structure of Pa5AsSe4 (PBE-GGA).

abc: 5.7657 7.0627 7.0627
angles: 80.41 65.91 65.91
Closest atoms and distances in Å follow each position.
Positions (direct):
Pa: 0.9015 0.3997 0.7991  5 Se 2.88-2.89, 1 As 2.88
Pa: 0.3013 0.7991 0.6003  5 Se 2.88-2.89, 1 As 2.88
Pa: 0.7007 0.2009 0.3997  5 Se 2.88-2.89, 1 As 2.88
Pa: 0.1004 0.6003 0.2009  5 Se 2.88-2.89, 1 As 2.88
Pa: 0.5012 0.0000 0.0000  4 Se 2.88, 2 As 2.88
As: 0.0013 0.0000 0.0000  6 Pa 2.88
Se: 0.4001 0.4002 0.8015  6 Pa 2.88-2.89
Se: 0.8003 0.8015 0.5998  6 Pa 2.88-2.89
Se: 0.2016 0.1985 0.4002  6 Pa 2.88-2.89
Se: 0.6018 0.5998 0.1985  6 Pa 2.88-2.89

Calculated volume: 23.97 A^3/atom
Calculated density: 10.71 g cm⁻³
Formation energy from raw total energies: -1.18 eV/atom

***

Entry from Alexandria via LeMat-Bulk: an optimized crystal structure of Pa3As2Se (PBE-GGA).

abc: 4.0884 4.0885 9.1395
angles: 102.93 102.93 90.00
Closest atoms and distances in Å follow each position.
Positions (direct):
Pa: 0.9341 0.9360 0.8740  2 As 2.89, 4 Se 2.89
Pa: 0.2670 0.2683 0.5394  5 As 2.88-2.89, 1 Se 2.90
Pa: 0.6016 0.6028 0.2085  5 As 2.88-2.89, 1 Se 2.90
As: 0.1010 0.1022 0.2073  6 Pa 2.88-2.89
As: 0.7677 0.7689 0.5407  6 Pa 2.88-2.89
Se: 0.4340 0.4360 0.8740  6 Pa 2.89-2.90

Calculated volume: 24.15 A^3/atom
Calculated density: 10.56 g cm⁻³
Formation energy from raw total energies: -1.11 eV/atom

***

Entry from Alexandria via LeMat-Bulk: an optimized crystal structure of Pa4As3Se (PBE-GGA).

abc: 5.7847 5.7847 5.7847
angles: 90.00 90.00 90.00
Closest atoms and distances in Å follow each position.
Positions (direct):
As: 0.0000 0.5000 0.5000  6 Pa 2.89
As: 0.5000 0.0000 0.5000  6 Pa 2.89
As: 0.5000 0.5000 0.0000  6 Pa 2.89
Pa: 0.5000 0.0000 0.0000  4 As 2.89, 2 Se 2.89
Pa: 0.0000 0.5000 0.0000  4 As 2.89, 2 Se 2.89
Pa: 0.0000 0.0000 0.5000  4 As 2.89, 2 Se 2.89
Pa: 0.5000 0.5000 0.5000  6 As 2.89
Se: 0.0000 0.0000 0.0000  6 Pa 2.89

Calculated volume: 24.20 A^3/atom
Calculated density: 10.53 g cm⁻³
Formation energy from raw total energies: -1.10 eV/atom

***

Entry from Alexandria via LeMat-Bulk: an optimized crystal structure of Pa2AsSe2 (PBE-GGA).

abc: 4.0731 4.0733 10.3776
angles: 90.53 90.00 120.00
Closest atoms and distances in Å follow each position.
Positions (direct):
Pa: 0.8308 0.6616 0.3400  3 Se 2.85, 3 As 2.88
Pa: 0.1692 0.3384 0.6600  3 Se 2.85, 3 As 2.88
As: 0.5000 0.0000 0.5000  6 Pa 2.88
Se: 0.1617 0.3234 0.1843  3 Pa 2.85
Se: 0.8383 0.6766 0.8157  3 Pa 2.85

Calculated volume: 29.82 A^3/atom
Calculated density: 7.74 g cm⁻³
Formation energy from raw total energies: -1.24 eV/atom
Energy above the lowest structure with this stoichiometry: 0.0 meV/atom

***

Entry from Alexandria via LeMat-Bulk: an optimized crystal structure of PaAsSe (PBE-GGA).

abc: 4.0444 4.0444 8.6871
angles: 103.46 103.46 90.00
Closest atoms and distances in Å follow each position.
Positions (direct):
Pa: 0.3700 0.3700 0.7399  4 As 2.94, 5 Se 3.00-3.04
Pa: 0.6300 0.6300 0.2601  4 As 2.94, 5 Se 3.00-3.04
As: 0.0000 0.5000 0.0000  4 As 2.86, 4 Pa 2.94
As: 0.5000 0.0000 0.0000  4 As 2.86, 4 Pa 2.94
Se: 0.1846 0.1846 0.3692  5 Pa 3.00-3.04
Se: 0.8154 0.8154 0.6308  5 Pa 3.00-3.04

Calculated volume: 22.36 A^3/atom
Calculated density: 9.53 g cm⁻³
Formation energy from raw total energies: -1.16 eV/atom
Energy above the lowest structure with this stoichiometry: 0.0 meV/atom

***

Entry from Alexandria via LeMat-Bulk: an optimized crystal structure of Pa4AsSe4 (PBE-GGA).

abc: 4.0195 7.0249 8.9932
angles: 75.94 77.09 73.38
Closest atoms and distances in Å follow each position.
Positions (direct):
Pa: 0.2988 0.1029 0.2995  1 As 2.84, 5 Se 2.86-2.91
Pa: 0.7012 0.8971 0.7005  1 As 2.84, 5 Se 2.86-2.91
Pa: 0.8957 0.3027 0.9060  4 Se 2.87-2.98, 2 As 2.87
Pa: 0.1043 0.6973 0.0940  4 Se 2.87-2.98, 2 As 2.87
As: 0.5000 0.0000 0.0000  6 Pa 2.84-2.87
Se: 0.6850 0.4086 0.2214  5 Pa 2.86-2.98
Se: 0.9040 0.7931 0.3989  4 Pa 2.86-2.91
Se: 0.3150 0.5914 0.7786  5 Pa 2.86-2.98
Se: 0.0960 0.2069 0.6011  4 Pa 2.86-2.91

Calculated volume: 25.86 A^3/atom
Calculated density: 9.38 g cm⁻³
Formation energy from raw total energies: -1.26 eV/atom
Energy above the lowest structure with this stoichiometry: 0.0 meV/atom